1.
! HfSN2F | the Alexandria database | PBE | optimized geometry; values from VASP
! **Formation energy without anion corrections**: 1.050 eV per atom
! **Excess energy over the best structure of this formula in the dataset**: 1.173 eV per atom
! **SG**: P4/mmm, No. 123
&SYSTEM
  ibrav = 0, nat = 5, ntyp = 4
/
ATOMIC_SPECIES
Hf 178.49 Hf.upf
S 32.06 S.upf
N 14.01 N.upf
F 19.00 F.upf
CELL_PARAMETERS angstrom
3.9558 0.0000 0.0000
0.0000 3.9558 0.0000
0.0000 0.0000 3.7323
ATOMIC_POSITIONS crystal
Hf 0.0000 0.0000 0.0000
S 0.5000 0.5000 0.0000
N 0.0000 0.5000 0.5000
N 0.5000 0.0000 0.5000
F 0.5000 0.5000 0.5000

2.
! Mg2Fe2Ag | the Alexandria database | PBE | optimized geometry; values from VASP
! **E_form**: 1.49 eV per formula unit
! **SG**: P4/mbm, No. 127
&SYSTEM
  ibrav = 0, nat = 10, ntyp = 3
/
ATOMIC_SPECIES
Mg 24.30 Mg.upf
Fe 55.84 Fe.upf
Ag 107.87 Ag.upf
CELL_PARAMETERS angstrom
7.5295 0.0000 0.0000
0.0000 7.5295 0.0000
0.0000 0.0000 2.8912
ATOMIC_POSITIONS crystal
Mg 0.1874 0.3126 0.0000
Mg 0.3126 0.8126 0.0000
Mg 0.6874 0.1874 0.0000
Mg 0.8126 0.6874 0.0000
Fe 0.1056 0.6056 0.5000
Fe 0.3944 0.1056 0.5000
Fe 0.6056 0.8944 0.5000
Fe 0.8944 0.3944 0.5000
Ag 0.0000 0.0000 0.5000
Ag 0.5000 0.5000 0.5000

3.
! Cs2Tl6AgPd | the Alexandria database | PBE | optimized geometry; values from VASP
! **E_form**: -0.08 eV per formula unit
! **SG**: P-3m1, No. 164
&SYSTEM
  ibrav = 0, nat = 10, ntyp = 4
/
ATOMIC_SPECIES
Cs 132.91 Cs.upf
Tl 204.38 Tl.upf
Ag 107.87 Ag.upf
Pd 106.42 Pd.upf
CELL_PARAMETERS angstrom
7.8014 0.0000 0.0000
-3.9007 6.7562 0.0000
0.0000 0.0000 6.4851
ATOMIC_POSITIONS crystal
Cs 0.3333 0.6667 0.2779
Cs 0.6667 0.3333 0.7221
Tl 0.1799 0.3599 0.7744
Tl 0.1799 0.8201 0.7744
Tl 0.3599 0.1799 0.2256
Tl 0.6401 0.8201 0.7744
Tl 0.8201 0.1799 0.2256
Tl 0.8201 0.6401 0.2256
Ag 0.0000 0.0000 0.5000
Pd 0.0000 0.0000 0.0000

4.
! Cs3CeSn2O9 | the Alexandria database | PBE | optimized geometry; values from VASP
! **Formation energy without anion corrections**: -1.556 eV per atom
! **SG**: P-3m1, No. 164
&SYSTEM
  ibrav = 0, nat = 15, ntyp = 4
/
ATOMIC_SPECIES
Cs 132.91 Cs.upf
Ce 140.12 Ce.upf
Sn 118.71 Sn.upf
O 16.00 O.upf
CELL_PARAMETERS angstrom
6.1750 0.0000 0.0000
-3.0875 5.3477 0.0000
0.0000 0.0000 7.5725
ATOMIC_POSITIONS crystal
Cs 0.0000 0.0000 0.0000
Cs 0.3333 0.6667 0.6670
Cs 0.6667 0.3333 0.3330
Ce 0.0000 0.0000 0.5000
Sn 0.3333 0.6667 0.1622
Sn 0.6667 0.3333 0.8378
O 0.0000 0.5000 0.0000
O 0.1725 0.3450 0.3230
O 0.1725 0.8275 0.3230
O 0.3450 0.1725 0.6770
O 0.5000 0.0000 0.0000
O 0.5000 0.5000 0.0000
O 0.6550 0.8275 0.3230
O 0.8275 0.1725 0.6770
O 0.8275 0.6550 0.6770

5.
! CaCd10Ag2 | the Alexandria database | PBE | optimized geometry; values from VASP
! **E_form**: -1.39 eV per formula unit
! **SG**: Fmmm, No. 69
&SYSTEM
  ibrav = 0, nat = 13, ntyp = 3
/
ATOMIC_SPECIES
Ca 40.08 Ca.upf
Cd 112.41 Cd.upf
Ag 107.87 Ag.upf
CELL_PARAMETERS angstrom
0.0000 7.0620 7.1461
2.9026 0.0000 7.1461
2.9026 7.0620 0.0000
ATOMIC_POSITIONS crystal
Ca 0.0000 0.0000 0.0000
Cd 0.0000 0.5000 0.0000
Cd 0.0079 0.6507 0.3493
Cd 0.2873 0.5040 0.4960
Cd 0.3493 0.9921 0.0079
Cd 0.4960 0.7127 0.2873
Cd 0.5000 0.0000 0.5000
Cd 0.5040 0.2873 0.7127
Cd 0.6507 0.0079 0.9921
Cd 0.7127 0.4960 0.5040
Cd 0.9921 0.3493 0.6507
Ag 0.0000 0.0000 0.5000
Ag 0.5000 0.5000 0.0000

6.
! Fe2ReNi | the Alexandria database | PBE | optimized geometry; values from VASP
! **E_form**: 0.13 eV per formula unit
! **SG**: I4/mmm, No. 139
&SYSTEM
  ibrav = 0, nat = 4, ntyp = 3
/
ATOMIC_SPECIES
Fe 55.84 Fe.upf
Re 186.21 Re.upf
Ni 58.69 Ni.upf
CELL_PARAMETERS angstrom
-1.8156 1.8156 3.5919
1.8156 -1.8156 3.5919
1.8156 1.8156 -3.5919
ATOMIC_POSITIONS crystal
Fe 0.2500 0.7500 0.5000
Fe 0.7500 0.2500 0.5000
Re 0.0000 0.0000 0.0000
Ni 0.5000 0.5000 0.0000

7.
! GaSF3 | the Alexandria database | PBE | optimized geometry; values from VASP
! **Formation energy without anion corrections**: -1.239 eV per atom
! **Excess energy over the best structure of this formula in the dataset**: 0.000 eV per atom
! **SG**: Pm-3m, No. 221
&SYSTEM
  ibrav = 0, nat = 5, ntyp = 3
/
ATOMIC_SPECIES
Ga 69.72 Ga.upf
S 32.06 S.upf
F 19.00 F.upf
CELL_PARAMETERS angstrom
4.0467 0.0000 0.0000
0.0000 4.0467 0.0000
0.0000 0.0000 4.0467
ATOMIC_POSITIONS crystal
Ga 0.0000 0.0000 0.0000
S 0.5000 0.5000 0.5000
F 0.0000 0.0000 0.5000
F 0.0000 0.5000 0.0000
F 0.5000 0.0000 0.0000

8.
! LaCuBr2 | the Alexandria database | PBE | optimized geometry; values from VASP
! **Formation energy without anion corrections**: -0.924 eV per atom
! **Excess energy over the best structure of this formula in the dataset**: 0.053 eV per atom
! **SG**: P4mm, No. 99
&SYSTEM
  ibrav = 0, nat = 4, ntyp = 3
/
ATOMIC_SPECIES
La 138.91 La.upf
Cu 63.55 Cu.upf
Br 79.90 Br.upf
CELL_PARAMETERS angstrom
3.7274 0.0000 0.0000
0.0000 3.7274 0.0000
0.0000 0.0000 8.3643
ATOMIC_POSITIONS crystal
La 0.0000 0.0000 0.0000
Cu 0.5000 0.5000 0.8021
Br 0.0000 0.0000 0.6536
Br 0.5000 0.5000 0.2288

9.
! Tl3In3Pb2 | the Alexandria database | PBE | optimized geometry; values from VASP
! **E_form**: 0.06 eV per formula unit
! **SG**: C2/m, No. 12
&SYSTEM
  ibrav = 0, nat = 8, ntyp = 3
/
ATOMIC_SPECIES
Tl 204.38 Tl.upf
In 114.82 In.upf
Pb 207.20 Pb.upf
CELL_PARAMETERS angstrom
9.3082 -2.5732 0.0000
9.3082 2.5732 0.0000
-1.3728 0.0000 4.9511
ATOMIC_POSITIONS crystal
Tl 0.0000 0.0000 0.0000
Tl 0.1223 0.1223 0.6222
Tl 0.8777 0.8777 0.3778
In 0.3751 0.3751 0.8735
In 0.5000 0.5000 0.5000
In 0.6249 0.6249 0.1265
Pb 0.2493 0.2493 0.2486
Pb 0.7507 0.7507 0.7514

10.
! PmMgSbIr | the Alexandria database | PBE | optimized geometry; values from VASP
! **Formation energy without anion corrections**: -0.366 eV per atom
! **SG**: F-43m, No. 216
&SYSTEM
  ibrav = 0, nat = 4, ntyp = 4
/
ATOMIC_SPECIES
Pm 145.00 Pm.upf
Mg 24.30 Mg.upf
Sb 121.76 Sb.upf
Ir 192.22 Ir.upf
CELL_PARAMETERS angstrom
0.0000 3.5348 3.5348
3.5348 0.0000 3.5348
3.5348 3.5348 0.0000
ATOMIC_POSITIONS crystal
Pm 0.0000 0.0000 0.0000
Mg 0.5000 0.5000 0.5000
Sb 0.2500 0.2500 0.2500
Ir 0.7500 0.7500 0.7500

11.
! LiHfNbOs | the Alexandria database | PBE | optimized geometry; values from VASP
! **E_form**: -0.81 eV per formula unit
! **SG**: F-43m, No. 216
&SYSTEM
  ibrav = 0, nat = 4, ntyp = 4
/
ATOMIC_SPECIES
Li 6.94 Li.upf
Hf 178.49 Hf.upf
Nb 92.91 Nb.upf
Os 190.23 Os.upf
CELL_PARAMETERS angstrom
0.0000 3.2209 3.2209
3.2209 0.0000 3.2209
3.2209 3.2209 0.0000
ATOMIC_POSITIONS crystal
Li 0.0000 0.0000 0.0000
Hf 0.2500 0.2500 0.2500
Nb 0.7500 0.7500 0.7500
Os 0.5000 0.5000 0.5000

12.
! YTh2Al9 | the Alexandria database | PBE | optimized geometry; values from VASP
! **E_form**: -3.73 eV per formula unit
! **SG**: R-3m, No. 166
&SYSTEM
  ibrav = 0, nat = 12, ntyp = 3
/
ATOMIC_SPECIES
Y 88.91 Y.upf
Th 232.04 Th.upf
Al 26.98 Al.upf
CELL_PARAMETERS angstrom
2.8256 1.6314 8.8827
-2.8256 1.6314 8.8827
0.0000 -3.2627 8.8827
ATOMIC_POSITIONS crystal
Y 0.0000 0.0000 0.0000
Th 0.1428 0.1428 0.1428
Th 0.8572 0.8572 0.8572
Al 0.0759 0.5858 0.5858
Al 0.3350 0.3350 0.3350
Al 0.4142 0.4142 0.9241
Al 0.4142 0.9241 0.4142
Al 0.5000 0.5000 0.5000
Al 0.5858 0.0759 0.5858
Al 0.5858 0.5858 0.0759
Al 0.6650 0.6650 0.6650
Al 0.9241 0.4142 0.4142

13.
! Ac2TeF | the Alexandria database | PBE | optimized geometry; values from VASP
! **Formation energy without anion corrections**: -1.486 eV per atom
! **Excess energy over the best structure of this formula in the dataset**: 0.332 eV per atom
! **SG**: P4/mmm, No. 123
&SYSTEM
  ibrav = 0, nat = 4, ntyp = 3
/
ATOMIC_SPECIES
Ac 227.00 Ac.upf
Te 127.60 Te.upf
F 19.00 F.upf
CELL_PARAMETERS angstrom
3.9223 0.0000 0.0000
0.0000 3.9223 0.0000
0.0000 0.0000 7.6566
ATOMIC_POSITIONS crystal
Ac 0.0000 0.0000 0.2452
Ac 0.0000 0.0000 0.7548
Te 0.5000 0.5000 0.5000
F 0.5000 0.5000 0.0000

14.
! Ac2Pm4Y | the Alexandria database | PBE | optimized geometry; values from VASP
! **E_form**: 0.56 eV per formula unit
! **Excess energy over the best structure of this formula in the dataset**: 0.000 eV per atom
! **SG**: Cmmm, No. 65
&SYSTEM
  ibrav = 0, nat = 7, ntyp = 3
/
ATOMIC_SPECIES
Ac 227.00 Ac.upf
Pm 145.00 Pm.upf
Y 88.91 Y.upf
CELL_PARAMETERS angstrom
1.8495 -19.1101 0.0000
1.8495 19.1101 0.0000
0.0000 0.0000 3.7113
ATOMIC_POSITIONS crystal
Ac 0.2048 0.7952 0.0000
Ac 0.7952 0.2048 0.0000
Pm 0.0657 0.9343 0.0000
Pm 0.3680 0.6320 0.5000
Pm 0.6320 0.3680 0.5000
Pm 0.9343 0.0657 0.0000
Y 0.5000 0.5000 0.5000

15.
! FeSi2Se | the Alexandria database | PBE | optimized geometry; values from VASP
! **Formation energy without anion corrections**: 0.473 eV per atom
! **SG**: Cmmm, No. 65
&SYSTEM
  ibrav = 0, nat = 4, ntyp = 3
/
ATOMIC_SPECIES
Fe 55.84 Fe.upf
Si 28.09 Si.upf
Se 78.96 Se.upf
CELL_PARAMETERS angstrom
2.6895 -3.6137 0.0000
2.6895 3.6137 0.0000
0.0000 0.0000 3.0421
ATOMIC_POSITIONS crystal
Fe 0.0000 0.0000 0.0000
Si 0.0000 0.5000 0.5000
Si 0.5000 0.0000 0.5000
Se 0.5000 0.5000 0.0000

16.
! Ca2Al2SbRh5 | the Alexandria database | PBE | optimized geometry; values from VASP
! **Formation energy without anion corrections**: -0.691 eV per atom
! **SG**: P4/mbm, No. 127
&SYSTEM
  ibrav = 0, nat = 20, ntyp = 4
/
ATOMIC_SPECIES
Ca 40.08 Ca.upf
Al 26.98 Al.upf
Sb 121.76 Sb.upf
Rh 102.91 Rh.upf
CELL_PARAMETERS angstrom
10.1188 0.0000 0.0000
0.0000 10.1188 0.0000
0.0000 0.0000 3.3890
ATOMIC_POSITIONS crystal
Ca 0.1743 0.3257 0.0000
Ca 0.3257 0.8257 0.0000
Ca 0.6743 0.1743 0.0000
Ca 0.8257 0.6743 0.0000
Al 0.1234 0.6234 0.0000
Al 0.3766 0.1234 0.0000
Al 0.6234 0.8766 0.0000
Al 0.8766 0.3766 0.0000
Sb 0.0000 0.0000 0.0000
Sb 0.5000 0.5000 0.0000
Rh 0.0000 0.5000 0.5000
Rh 0.0669 0.7950 0.5000
Rh 0.2050 0.0669 0.5000
Rh 0.2950 0.5669 0.5000
Rh 0.4331 0.2950 0.5000
Rh 0.5000 0.0000 0.5000
Rh 0.5669 0.7050 0.5000
Rh 0.7050 0.4331 0.5000
Rh 0.7950 0.9331 0.5000
Rh 0.9331 0.2050 0.5000

17.
! Th4TcTeAs2 | the Alexandria database | PBE | optimized geometry; values from VASP
! **Formation energy without anion corrections**: -0.896 eV per atom
! **SG**: P2/m, No. 10
&SYSTEM
  ibrav = 0, nat = 8, ntyp = 4
/
ATOMIC_SPECIES
Th 232.04 Th.upf
Tc 98.00 Tc.upf
Te 127.60 Te.upf
As 74.92 As.upf
CELL_PARAMETERS angstrom
7.4205 0.0000 0.0000
0.0000 4.2373 0.0000
-2.4325 0.0000 7.1988
ATOMIC_POSITIONS crystal
Th 0.2371 0.0000 0.2232
Th 0.2549 0.5000 0.7780
Th 0.7451 0.5000 0.2220
Th 0.7629 0.0000 0.7768
Tc 0.0000 0.5000 0.0000
Te 0.0000 0.0000 0.5000
As 0.5000 0.0000 0.0000
As 0.5000 0.5000 0.5000

18.
! Sc2MnNi9 | the Alexandria database | PBE | optimized geometry; values from VASP
! **E_form**: -3.45 eV per formula unit
! **SG**: P4/mmm, No. 123
&SYSTEM
  ibrav = 0, nat = 12, ntyp = 3
/
ATOMIC_SPECIES
Sc 44.96 Sc.upf
Mn 54.94 Mn.upf
Ni 58.69 Ni.upf
CELL_PARAMETERS angstrom
3.6621 0.0000 0.0000
0.0000 3.6621 0.0000
0.0000 0.0000 10.9802
ATOMIC_POSITIONS crystal
Sc 0.0000 0.0000 0.1700
Sc 0.0000 0.0000 0.8300
Mn 0.0000 0.0000 0.5000
Ni 0.0000 0.5000 0.0000
Ni 0.0000 0.5000 0.3442
Ni 0.0000 0.5000 0.6558
Ni 0.5000 0.0000 0.0000
Ni 0.5000 0.0000 0.3442
Ni 0.5000 0.0000 0.6558
Ni 0.5000 0.5000 0.1718
Ni 0.5000 0.5000 0.5000
Ni 0.5000 0.5000 0.8282

19.
! Ta5Mo2 | the Alexandria database | PBE | optimized geometry; values from VASP
! **E_form**: -0.63 eV per formula unit
! **Excess energy over the best structure of this formula in the dataset**: 0.049 eV per atom
! **SG**: P-1, No. 2
&SYSTEM
  ibrav = 0, nat = 7, ntyp = 2
/
ATOMIC_SPECIES
Ta 180.95 Ta.upf
Mo 95.94 Mo.upf
CELL_PARAMETERS angstrom
2.8732 0.0000 0.0000
-0.9242 6.9714 0.0000
-0.9071 -3.4849 6.1045
ATOMIC_POSITIONS crystal
Ta 0.0000 0.0000 0.0000
Ta 0.1628 0.5677 0.8567
Ta 0.4323 0.7211 0.5710
Ta 0.5677 0.2789 0.4290
Ta 0.8372 0.4323 0.1433
Mo 0.2828 0.1430 0.7138
Mo 0.7172 0.8570 0.2862

20.
! AuC8 | the Alexandria database | PBE | optimized geometry; values from VASP
! **E_form**: 22.55 eV per formula unit
! **SG**: I4/mmm, No. 139
&SYSTEM
  ibrav = 0, nat = 9, ntyp = 2
/
ATOMIC_SPECIES
Au 196.97 Au.upf
C 12.01 C.upf
CELL_PARAMETERS angstrom
-3.6198 3.6198 1.4099
3.6198 -3.6198 1.4099
3.6198 3.6198 -1.4099
ATOMIC_POSITIONS crystal
Au 0.0000 0.0000 0.0000
C 0.0000 0.3955 0.3955
C 0.0000 0.6045 0.6045
C 0.2131 0.2131 0.4262
C 0.2131 0.7869 0.0000
C 0.3955 0.0000 0.3955
C 0.6045 0.0000 0.6045
C 0.7869 0.2131 0.0000
C 0.7869 0.7869 0.5738

For each record above, in turn, the calculated density of states at the Fermi level values are 2.2 7.9 9.7 12.1 5.5 3.6 1.6 1.3 1.8 1.9 2.4 7.3 3.7 11.6 3.4 11.2 7.4 15.0 7.3 1.6 states/eV per cell.